Entry 1:
The following is a DFT calculation (meta-GGA SCAN) of a PBEsol-optimized structure of Si2BiAs.

Computed properties:
E_tot, eV/atom: -28.91
ΔE to the lowest computed polymorph, meV/atom: 283
Raw formation energy, eV/atom: 0.793

abc: 4.829 4.829 4.829
angles: 60.00 60.00 60.00
Element x y z (fractional)
As 0.000 0.000 0.000
Bi 0.500 0.500 0.500
Si 0.750 0.750 0.750
Si 0.250 0.250 0.250

***

Entry 2:
The following is a DFT calculation (meta-GGA SCAN) of a PBEsol-optimized structure of KNiMo2.

Computed properties:
Energy of formation from the pure elements, kJ/mol of atoms: 151.0
E_tot, eV/atom: -22.00
ΔE to the lowest computed polymorph, meV/atom: 852

abc: 3.705 3.705 5.576
angles: 109.40 109.40 90.00
Element x y z (fractional)
Mo 0.250 0.750 0.500
K 0.000 0.000 0.000
Mo 0.750 0.250 0.500
Ni 0.500 0.500 0.000

***

Entry 3:
The following is a DFT calculation (meta-GGA SCAN) of a PBEsol-optimized structure of TlCd2.

Computed properties:
Energy of formation from the pure elements, kJ/mol of atoms: 7.7
E_tot, eV/atom: -44.32

abc: 4.567 6.368 9.713
angles: 90.00 90.00 90.00
Element x y z (fractional)
Cd 0.750 0.876 0.918
Cd 0.250 0.624 0.418
Cd 0.250 0.617 0.743
Tl 0.750 0.374 0.910
Cd 0.250 0.124 0.082
Cd 0.750 0.376 0.582
Cd 0.750 0.883 0.243
Tl 0.750 0.874 0.590
Tl 0.250 0.626 0.090
Cd 0.250 0.117 0.757
Cd 0.750 0.383 0.257
Tl 0.250 0.126 0.410

***

Entry 4:
The following is a DFT calculation (meta-GGA SCAN) of a PBEsol-optimized structure of Cd3AgAs.

Computed properties:
Energy of formation from the pure elements, kJ/mol of atoms: 49.1
E_tot, eV/atom: -28.05

abc: 5.173 5.173 5.173
angles: 90.00 90.00 90.00
Element x y z (fractional)
As 0.000 0.000 0.000
Ag 0.500 0.500 0.500
Cd 0.000 0.000 0.500
Cd 0.000 0.500 0.000
Cd 0.500 0.000 0.000

***

Entry 5:
The following is a DFT calculation (meta-GGA SCAN) of a PBEsol-optimized structure of Nd2AgRu.

Computed properties:
Energy of formation from the pure elements, kJ/mol of atoms: -25.3
E_tot, eV/atom: -38.60

abc: 5.031 5.031 5.031
angles: 60.00 60.00 60.00
Element x y z (fractional)
Ru 0.000 0.000 0.000
Nd 0.250 0.250 0.250
Nd 0.750 0.750 0.750
Ag 0.500 0.500 0.500

***

Entry 6:
The following is a DFT calculation (meta-GGA SCAN) of a PBEsol-optimized structure of NaYTl2.

Computed properties:
Energy of formation from the pure elements, kJ/mol of atoms: -41.7
E_tot, eV/atom: -44.63

abc: 5.235 5.235 5.235
angles: 60.00 60.00 60.00
Element x y z (fractional)
Y 0.500 0.500 0.500
Na 0.000 0.000 0.000
Tl 0.250 0.250 0.250
Tl 0.750 0.750 0.750

***

Entry 7:
The following is a DFT calculation (meta-GGA SCAN) of a PBEsol-optimized structure of MnCu2As.

Computed properties:
Energy of formation from the pure elements, kJ/mol of atoms: 1.7
E_tot, eV/atom: -17.19

abc: 2.870 4.447 4.447
angles: 113.38 90.00 90.00
Last column: magnetic moment on the atom in μB.
Element x y z (fractional)
Mn 0.500 0.000 0.000  3.55
Cu 0.000 0.000 0.500  0.03
Cu 0.000 0.500 0.000  0.03
As 0.500 0.500 0.500  -0.06

***

Entry 8:
The following is a DFT calculation (meta-GGA SCAN) of a PBEsol-optimized structure of BaY3Cl11.

Computed properties:
E_tot, eV/atom: -16.59
Raw formation energy, eV/atom: -2.536

abc: 5.256 10.157 18.836
angles: 90.00 90.00 90.00
Last column: magnetic moment on the atom in μB.
Element x y z (fractional)
Cl 0.500 0.250 0.918  0.07
Cl 0.500 0.508 0.764  0.00
Cl 0.000 0.960 0.903  0.00
Cl 0.500 0.750 0.082  0.07
Ba 0.000 0.250 0.977  0.00
Y 0.000 0.002 0.233  0.00
Y 0.000 0.498 0.233  0.00
Cl 0.000 0.460 0.097  0.00
Cl 0.500 0.000 0.500  0.00
Y 0.000 0.500 0.500  0.00
Cl 0.000 0.750 0.202  0.01
Cl 0.000 0.071 0.633  0.00
Cl 0.000 0.750 0.732  0.00
Cl 0.000 0.540 0.903  0.00
Cl 0.000 0.571 0.367  0.00
Y 0.000 0.998 0.767  0.00
Ba 0.000 0.750 0.023  0.00
Cl 0.000 0.429 0.633  0.00
Cl 0.000 0.040 0.097  0.00
Cl 0.000 0.929 0.367  0.00
Cl 0.500 0.992 0.764  0.00
Cl 0.000 0.250 0.268  0.00
Cl 0.000 0.750 0.537  0.00
Y 0.000 0.000 0.500  0.00
Y 0.000 0.502 0.767  0.00
Cl 0.000 0.250 0.463  0.00
Cl 0.500 0.008 0.236  0.00
Cl 0.500 0.492 0.236  0.00
Cl 0.000 0.250 0.798  0.01
Cl 0.500 0.500 0.500  0.00